Here is an optimized crystal structure of CrBN2O from the Alexandria database. Energies are from PBE+U.

The structure belongs to space group P4/mmm (No. 123); the cell edges are 3.729, 3.729 and 3.657 Å and the angles 90.00°, 90.00° and 90.00°. The asymmetric unit holds Cr at (0.000, 0.000, 0.000), B at (0.500, 0.500, 0.500), N at (0.000, 0.500, 0.000) and O at (0.000, 0.000, 0.500).

Its density of states at the Fermi level is 3.47 states/eV per cell. As for the electronic total energy: -5.6084 eV per atom.

Here is an optimized crystal structure of CrBNO2 from the Alexandria database. Energies are from PBE+U.

The structure belongs to space group P4/mmm (No. 123); the cell edges are 3.614, 3.614 and 3.064 Å and the angles 90.00°, 90.00° and 90.00°. The asymmetric unit holds Cr at (0.000, 0.000, 0.000), B at (0.500, 0.500, 0.500), N at (0.500, 0.500, 0.000) and O at (0.000, 0.500, 0.500).

Its density of states at the Fermi level is 0.85 states/eV per cell. As for the electronic total energy: -6.6713 eV per atom.

Here is an optimized crystal structure of CrBNO2 from the Alexandria database. Energies are from PBE+U.

The structure belongs to space group P4/mmm (No. 123); the cell edges are 3.644, 3.644 and 3.816 Å and the angles 90.00°, 90.00° and 90.00°. The asymmetric unit holds Cr at (0.000, 0.000, 0.000), B at (0.500, 0.500, 0.500), N at (0.000, 0.000, 0.500) and O at (0.000, 0.500, 0.000).

Its density of states at the Fermi level is 2.18 states/eV per cell. As for the electronic total energy: -5.6165 eV per atom.